*A*
Density functional theory data (PBE) for a relaxed Li8GaGe2 crystal.

Cell lengths 4.532, 6.011, 7.567 Å; angles 112.46, 106.22, 92.91 degrees
Element x y z (fractional)
Li: 0.165 0.370 0.280
Li: 0.885 0.089 0.720
Li: 0.715 0.405 0.000
Li: 0.704 0.204 0.408
Li: 0.296 0.796 0.592
Li: 0.285 0.595 0.000
Li: 0.115 0.911 0.280
Li: 0.835 0.630 0.720
Ga: 0.500 0.000 0.000
Ge: 0.678 0.678 0.356
Ge: 0.322 0.322 0.644

*B*
Density functional theory data (PBE) for a relaxed Li8GaGe2 crystal.

Cell lengths 4.377, 6.883, 7.069 Å; angles 117.62, 108.04, 90.00 degrees
Element x y z (fractional)
Li: 0.379 0.555 0.758
Li: 0.670 0.889 0.341
Li: 0.845 0.788 0.690
Li: 0.977 0.283 0.953
Li: 0.155 0.212 0.310
Li: 0.330 0.111 0.659
Li: 0.621 0.445 0.242
Li: 0.023 0.717 0.047
Ga: 0.500 0.000 0.000
Ge: 0.790 0.328 0.579
Ge: 0.210 0.672 0.421

Least stable = *A*

*A*
Density functional theory data (PBE) for a relaxed Li2GaGe2 crystal.

Cell lengths 7.696, 7.696, 2.890 Å; angles 90.00, 90.00, 90.00 degrees
Element x y z (fractional)
Ge: 0.384 0.884 0.000
Ge: 0.884 0.616 0.000
Ge: 0.616 0.116 0.000
Ge: 0.116 0.384 0.000
Ga: 0.000 0.000 0.000
Ga: 0.500 0.500 0.000
Li: 0.185 0.685 0.500
Li: 0.685 0.815 0.500
Li: 0.815 0.315 0.500
Li: 0.315 0.185 0.500

*B*
Density functional theory data (PBE) for a relaxed Li2GaGe2 crystal.

Cell lengths 4.185, 5.512, 9.038 Å; angles 88.29, 76.61, 67.69 degrees
Element x y z (fractional)
Li: 0.672 0.358 0.297
Li: 0.929 0.245 0.897
Li: 0.328 0.642 0.703
Li: 0.071 0.755 0.103
Ga: 0.634 0.069 0.662
Ga: 0.366 0.931 0.338
Ge: 0.074 0.289 0.563
Ge: 0.642 0.817 0.899
Ge: 0.926 0.711 0.437
Ge: 0.358 0.183 0.101

Least stable = *A*

*A*
Density functional theory data (PBE) for a relaxed Li6GaGe2 crystal.

Cell lengths 4.514, 4.514, 9.045 Å; angles 75.55, 75.55, 60.00 degrees
Element x y z (fractional)
Li: 0.586 0.586 0.241
Li: 0.807 0.807 0.580
Li: 0.707 0.707 0.878
Li: 0.193 0.193 0.420
Li: 0.414 0.414 0.759
Li: 0.293 0.293 0.122
Ga: 0.000 0.000 0.000
Ge: 0.907 0.907 0.279
Ge: 0.093 0.093 0.721

*B*
Density functional theory data (PBE) for a relaxed Li6GaGe2 crystal.

Cell lengths 2.720, 7.660, 8.084 Å; angles 118.28, 70.13, 90.00 degrees
Element x y z (fractional)
Li: 0.159 0.337 0.337
Li: 0.841 0.000 0.663
Li: 0.841 0.663 0.663
Li: 0.500 0.337 0.000
Li: 0.159 0.000 0.337
Li: 0.500 0.663 0.000
Ga: 0.000 0.000 0.000
Ge: 0.666 0.667 0.334
Ge: 0.334 0.333 0.666

Least stable = *B*

*A*
Density functional theory data (PBE) for a relaxed Li4Ga2Ge crystal.

Cell lengths 4.756, 4.756, 7.448 Å; angles 71.38, 71.38, 90.00 degrees
Element x y z (fractional)
Ge: 0.000 0.000 0.000
Ga: 0.396 0.396 0.209
Ga: 0.604 0.604 0.791
Li: 0.193 0.193 0.613
Li: 0.807 0.807 0.387
Li: 0.000 0.500 0.000
Li: 0.500 0.000 0.000

*B*
Density functional theory data (PBE) for a relaxed Li4Ga2Ge crystal.

Cell lengths 4.591, 4.439, 7.538 Å; angles 107.13, 90.00, 90.00 degrees
Element x y z (fractional)
Li: 0.500 0.593 0.186
Li: 0.000 0.901 0.802
Li: 0.500 0.407 0.814
Li: 0.000 0.099 0.198
Ga: 0.500 0.211 0.423
Ga: 0.500 0.789 0.577
Ge: 0.000 0.500 0.000

Least stable = *A*

*A*
Density functional theory data (PBE) for a relaxed LiGaGe3 crystal.

Cell lengths 4.638, 4.638, 4.638 Å; angles 90.00, 90.00, 90.00 degrees
Element x y z (fractional)
Ge: 0.000 0.500 0.000
Ge: 0.000 0.000 0.500
Ge: 0.500 0.000 0.000
Ga: 0.500 0.500 0.500
Li: 0.000 0.000 0.000

*B*
Density functional theory data (PBE) for a relaxed LiGaGe3 crystal.

Cell lengths 5.001, 5.001, 5.001 Å; angles 90.00, 90.00, 90.00 degrees
Element x y z (fractional)
Ge: 0.000 0.500 0.000
Ge: 0.000 0.000 0.500
Ge: 0.500 0.000 0.000
Ga: 0.000 0.000 0.000
Li: 0.500 0.500 0.500

Least stable = *B*

*A*
Density functional theory data (PBE) for a relaxed LiGa4Ge crystal.

Cell lengths 5.457, 5.457, 5.457 Å; angles 60.00, 60.00, 60.00 degrees
Element x y z (fractional)
Ge: 0.000 0.000 0.000
Ga: 0.625 0.625 0.126
Ga: 0.625 0.126 0.625
Ga: 0.625 0.625 0.625
Ga: 0.126 0.625 0.625
Li: 0.250 0.250 0.250

*B*
Density functional theory data (PBE) for a relaxed LiGa4Ge crystal.

Cell lengths 5.077, 5.077, 9.646 Å; angles 73.36, 73.36, 70.02 degrees
Element x y z (fractional)
Li: 0.500 0.000 0.500
Li: 0.000 0.500 0.000
Ga: 0.362 0.312 0.731
Ga: 0.140 0.698 0.475
Ga: 0.860 0.302 0.525
Ga: 0.312 0.362 0.231
Ga: 0.688 0.638 0.769
Ga: 0.302 0.860 0.025
Ga: 0.698 0.140 0.975
Ga: 0.638 0.688 0.269
Ge: 0.895 0.105 0.250
Ge: 0.105 0.895 0.750

Least stable = *A*

*A*
Density functional theory data (PBE) for a relaxed LiMgGaGe crystal.

Cell lengths 4.167, 4.160, 4.026 Å; angles 90.00, 90.00, 90.00 degrees
Element x y z (fractional)
Li: 0.000 0.500 0.500
Mg: 0.500 0.000 0.500
Ga: 0.500 0.500 0.000
Ge: 0.000 0.000 0.000

*B*
Density functional theory data (PBE) for a relaxed LiMgGaGe crystal.

Cell lengths 4.671, 4.671, 4.671 Å; angles 60.00, 60.00, 60.00 degrees
Element x y z (fractional)
Ge: 0.250 0.250 0.250
Mg: 0.000 0.000 0.000
Ga: 0.750 0.750 0.750
Li: 0.500 0.500 0.500

Least stable = *B*

*A*
Density functional theory data (PBE) for a relaxed MgGa2Ge crystal.

Cell lengths 3.976, 3.976, 6.632 Å; angles 72.55, 72.55, 60.00 degrees
Element x y z (fractional)
Mg: 0.665 0.665 0.004
Ga: 0.094 0.094 0.717
Ga: 0.239 0.239 0.283
Ge: 0.501 0.501 0.496

*B*
Density functional theory data (PBE) for a relaxed MgGa2Ge crystal.

Cell lengths 3.641, 3.641, 5.828 Å; angles 90.00, 90.00, 90.00 degrees
Element x y z (fractional)
Ge: 0.500 0.500 0.000
Mg: 0.500 0.500 0.500
Ga: 0.000 0.000 0.763
Ga: 0.000 0.000 0.237

*C*
Density functional theory data (PBE) for a relaxed MgGa2Ge crystal.

Cell lengths 4.252, 4.195, 4.195 Å; angles 90.00, 90.00, 90.00 degrees
Element x y z (fractional)
Ge: 0.500 0.000 0.000
Mg: 0.500 0.500 0.500
Ga: 0.000 0.000 0.500
Ga: 0.000 0.500 0.000

Least stable = *A*